(1)
First-principles (PBE) data for a relaxed SmErZnNi crystal, as listed in Alexandria via LeMat-Bulk.

Properties
- Symmetry: No. 99
- Formation enthalpy at 0 K: -0.35 eV per atom

Cell: 3.4828 3.4828 7.0290 Å, 90.00 90.00 90.00°
Last column: nearest neighbours and their distance in Å.
Fractional positions:
Sm (0.0000, 0.0000, 0.0000)  4 Ni 3.02, 4 Zn 3.15, 1 Er 3.29
Er (0.0000, 0.0000, 0.4679)  4 Ni 2.90, 4 Zn 3.03
Zn (0.5000, 0.5000, 0.7201)  4 Er 3.03, 4 Sm 3.15, 1 Ni 3.31
Ni (0.5000, 0.5000, 0.2496)  4 Er 2.90, 4 Sm 3.02


(2)
First-principles (PBE) data for a relaxed Er3Ni2Sn3 crystal, as listed in Alexandria via LeMat-Bulk.

Properties
- Symmetry: No. 63
- Formation enthalpy at 0 K: -0.67 eV per atom

Cell: 5.7818 5.7818 14.8181 Å, 90.00 90.00 135.02°
Last column: nearest neighbours and their distance in Å.
Fractional positions:
Er (0.0769, 0.9231, 0.6110)  3 Ni 3.00-3.22, 7 Sn 3.12-3.34
Er (0.0769, 0.9231, 0.8890)  3 Ni 3.00-3.22, 7 Sn 3.12-3.34
Er (0.3552, 0.6448, 0.7500)  5 Sn 3.11-3.16, 4 Ni 3.12
Er (0.6448, 0.3552, 0.2500)  5 Sn 3.11-3.16, 4 Ni 3.12
Er (0.9231, 0.0769, 0.1110)  3 Ni 3.00-3.22, 7 Sn 3.12-3.34
Er (0.9231, 0.0769, 0.3890)  3 Ni 3.00-3.22, 7 Sn 3.12-3.34
Ni (0.2038, 0.7962, 0.1072)  4 Sn 2.56-2.76
Ni (0.2038, 0.7962, 0.3928)  4 Sn 2.56-2.76
Ni (0.7962, 0.2038, 0.6072)  4 Sn 2.56-2.76
Ni (0.7962, 0.2038, 0.8928)  4 Sn 2.56-2.76
Sn (0.3494, 0.6506, 0.2500)  2 Ni 2.63
Sn (0.3671, 0.6329, 0.5368)  3 Ni 2.56-2.76
Sn (0.3671, 0.6329, 0.9632)  3 Ni 2.56-2.76
Sn (0.6329, 0.3671, 0.0368)  3 Ni 2.56-2.76
Sn (0.6329, 0.3671, 0.4632)  3 Ni 2.56-2.76
Sn (0.6506, 0.3494, 0.7500)  2 Ni 2.63


(3)
First-principles (PBE) data for a relaxed ErNi4Sn4 crystal, as listed in Alexandria via LeMat-Bulk.

Properties
- Symmetry: No. 86
- Formation enthalpy at 0 K: -0.17 eV per atom

Cell: 8.4061 8.4061 5.1200 Å, 90.00 90.00 90.00°
Last column: nearest neighbours and their distance in Å.
Fractional positions:
Er (0.2500, 0.2500, 0.2500)  4 Ni 2.83
Er (0.7500, 0.7500, 0.7500)  4 Ni 2.83
Ni (0.0485, 0.6061, 0.6503)  1 Ni 2.49, 5 Sn 2.58-2.64
Ni (0.1061, 0.9515, 0.1503)  1 Ni 2.49, 5 Sn 2.58-2.64
Ni (0.3939, 0.5485, 0.1503)  1 Ni 2.49, 5 Sn 2.58-2.64
Ni (0.4515, 0.8939, 0.6503)  1 Ni 2.49, 5 Sn 2.58-2.64
Ni (0.5485, 0.1061, 0.3497)  1 Ni 2.49, 5 Sn 2.58-2.64
Ni (0.6061, 0.4515, 0.8497)  1 Ni 2.49, 5 Sn 2.58-2.64
Ni (0.8939, 0.0485, 0.8497)  1 Ni 2.49, 5 Sn 2.58-2.64
Ni (0.9515, 0.3939, 0.3497)  1 Ni 2.49, 5 Sn 2.58-2.64
Sn (0.0931, 0.6379, 0.1529)  5 Ni 2.58-2.64
Sn (0.1379, 0.9069, 0.6529)  5 Ni 2.58-2.64
Sn (0.3621, 0.5931, 0.6529)  5 Ni 2.58-2.64
Sn (0.4069, 0.8621, 0.1529)  5 Ni 2.58-2.64
Sn (0.5931, 0.1379, 0.8471)  5 Ni 2.58-2.64
Sn (0.6379, 0.4069, 0.3471)  5 Ni 2.58-2.64
Sn (0.8621, 0.0931, 0.3471)  5 Ni 2.58-2.64
Sn (0.9069, 0.3621, 0.8471)  5 Ni 2.58-2.64


(4)
First-principles (PBE) data for a relaxed Er2Ni3Sn crystal, as listed in Alexandria via LeMat-Bulk.

Properties
- Symmetry: No. 69
- Formation enthalpy at 0 K: -0.40 eV per atom

Cell: 8.4588 8.1702 5.6259 Å, 73.02 67.48 39.50°
Last column: nearest neighbours and their distance in Å.
Fractional positions:
Er (0.2329, 0.7671, 0.7671)  10 Ni 2.92-3.18, 2 Sn 3.09
Er (0.2500, 0.2500, 0.2500)  8 Ni 3.07-3.09, 4 Sn 3.08
Er (0.7500, 0.7500, 0.7500)  8 Ni 3.07-3.09, 4 Sn 3.08
Er (0.7671, 0.2329, 0.2329)  10 Ni 2.92-3.18, 2 Sn 3.09
Ni (0.1595, 0.6784, 0.3216)  2 Ni 2.37, 1 Sn 2.52
Ni (0.1622, 0.1622, 0.8378)  2 Ni 2.37, 1 Sn 2.54
Ni (0.3216, 0.8405, 0.1595)  2 Ni 2.37, 1 Sn 2.52
Ni (0.6784, 0.1595, 0.8405)  2 Ni 2.37, 1 Sn 2.52
Ni (0.8378, 0.8378, 0.1622)  2 Ni 2.37, 1 Sn 2.54
Ni (0.8405, 0.3216, 0.6784)  2 Ni 2.37, 1 Sn 2.52
Sn (0.3361, 0.3361, 0.6639)  3 Ni 2.52-2.54
Sn (0.6639, 0.6639, 0.3361)  3 Ni 2.52-2.54


(5)
First-principles (PBE) data for a relaxed Er3NiSn2 crystal, as listed in Alexandria via LeMat-Bulk.

Properties
- Symmetry: No. 62
- Formation enthalpy at 0 K: -0.66 eV per atom

Cell: 11.9384 4.3326 11.5725 Å, 90.00 90.00 90.00°
Last column: nearest neighbours and their distance in Å.
Fractional positions:
Er (0.0555, 0.2500, 0.1284)  1 Ni 2.88, 4 Sn 3.08-3.11
Er (0.1212, 0.7500, 0.5522)  3 Ni 3.06-3.11, 5 Sn 3.09-3.19
Er (0.2332, 0.2500, 0.7935)  2 Ni 2.86, 2 Sn 3.11
Er (0.2668, 0.7500, 0.2935)  2 Ni 2.86, 2 Sn 3.11
Er (0.3788, 0.2500, 0.0522)  3 Ni 3.06-3.11, 5 Sn 3.09-3.19
Er (0.4445, 0.7500, 0.6284)  1 Ni 2.88, 4 Sn 3.08-3.11
Er (0.5555, 0.2500, 0.3716)  1 Ni 2.88, 4 Sn 3.08-3.11
Er (0.6212, 0.7500, 0.9478)  3 Ni 3.06-3.11, 5 Sn 3.09-3.19
Er (0.7332, 0.2500, 0.7065)  2 Ni 2.86, 2 Sn 3.11
Er (0.7668, 0.7500, 0.2065)  2 Ni 2.86, 2 Sn 3.11
Er (0.8788, 0.2500, 0.4478)  3 Ni 3.06-3.11, 5 Sn 3.09-3.19
Er (0.9445, 0.7500, 0.8716)  1 Ni 2.88, 4 Sn 3.08-3.11
Ni (0.1270, 0.2500, 0.3657)  3 Sn 2.65-2.67, 3 Er 2.86-2.88
Ni (0.3730, 0.7500, 0.8657)  3 Sn 2.65-2.67, 3 Er 2.86-2.88
Ni (0.6270, 0.2500, 0.1343)  3 Sn 2.65-2.67, 3 Er 2.86-2.88
Ni (0.8730, 0.7500, 0.6343)  3 Sn 2.65-2.67, 3 Er 2.86-2.88
Sn (0.0072, 0.7500, 0.3109)  2 Ni 2.67
Sn (0.1905, 0.7500, 0.9957)  1 Ni 2.65
Sn (0.3095, 0.2500, 0.4957)  1 Ni 2.65
Sn (0.4928, 0.2500, 0.8109)  2 Ni 2.67
Sn (0.5072, 0.7500, 0.1891)  2 Ni 2.67
Sn (0.6905, 0.7500, 0.5043)  1 Ni 2.65
Sn (0.8095, 0.2500, 0.0043)  1 Ni 2.65
Sn (0.9928, 0.2500, 0.6891)  2 Ni 2.67


(6)
First-principles (PBE) data for a relaxed ErNi9Sn2 crystal, as listed in Alexandria via LeMat-Bulk.

Properties
- Offset from the most stable computed form: 20 meV per atom
- Symmetry: No. 166
- Formation enthalpy at 0 K: -0.22 eV per atom

Cell: 8.3822 8.3822 8.3822 Å, 34.11 34.11 34.11°
Last column: nearest neighbours and their distance in Å.
Fractional positions:
Er (0.0000, 0.0000, 0.0000)  18 Ni 2.84-3.16
Ni (0.0803, 0.5858, 0.5858)  7 Ni 2.43-2.49
Ni (0.3338, 0.3338, 0.3338)  6 Ni 2.44
Ni (0.4142, 0.4142, 0.9197)  7 Ni 2.43-2.49
Ni (0.4142, 0.9197, 0.4142)  7 Ni 2.43-2.49
Ni (0.5000, 0.5000, 0.5000)  6 Ni 2.43
Ni (0.5858, 0.0803, 0.5858)  7 Ni 2.43-2.49
Ni (0.5858, 0.5858, 0.0803)  7 Ni 2.43-2.49
Ni (0.6662, 0.6662, 0.6662)  6 Ni 2.44
Ni (0.9197, 0.4142, 0.4142)  7 Ni 2.43-2.49
Sn (0.1375, 0.1375, 0.1375)  12 Ni 2.76-3.00
Sn (0.8625, 0.8625, 0.8625)  12 Ni 2.76-3.00


(7)
First-principles (PBE) data for a relaxed Er2Ni3Sn2 crystal, as listed in Alexandria via LeMat-Bulk.

Properties
- Symmetry: No. 199
- Formation enthalpy at 0 K: -0.39 eV per atom

Cell: 7.1639 7.1639 7.1639 Å, 109.47 109.47 109.47°
Last column: nearest neighbours and their distance in Å.
Fractional positions:
Er (0.0000, 0.0066, 0.5000)  3 Ni 2.69
Er (0.0066, 0.5000, 0.0000)  3 Ni 2.69
Er (0.4934, 0.4934, 0.4934)  3 Ni 2.69
Er (0.5000, 0.0000, 0.0066)  3 Ni 2.69
Ni (0.0345, 0.2500, 0.2845)  2 Sn 2.52, 2 Er 2.69, 4 Ni 2.75
Ni (0.2155, 0.4655, 0.7500)  2 Sn 2.52, 2 Er 2.69, 4 Ni 2.75
Ni (0.2500, 0.2845, 0.0345)  2 Sn 2.52, 2 Er 2.69, 4 Ni 2.75
Ni (0.2845, 0.0345, 0.2500)  2 Sn 2.52, 2 Er 2.69, 4 Ni 2.75
Ni (0.4655, 0.7500, 0.2155)  2 Sn 2.52, 2 Er 2.69, 4 Ni 2.75
Ni (0.7500, 0.2155, 0.4655)  2 Sn 2.52, 2 Er 2.69, 4 Ni 2.75
Sn (0.0000, 0.5839, 0.5000)  3 Ni 2.52
Sn (0.5000, 0.0000, 0.5839)  3 Ni 2.52
Sn (0.5839, 0.5000, 0.0000)  3 Ni 2.52
Sn (0.9161, 0.9161, 0.9161)  3 Ni 2.52


(8)
First-principles (PBE) data for a relaxed Er4NiSn crystal, as listed in Alexandria via LeMat-Bulk.

Properties
- Offset from the most stable computed form: 158 meV per atom
- Symmetry: No. 14
- Formation enthalpy at 0 K: -0.27 eV per atom

Cell: 7.2293 7.0246 6.7606 Å, 90.00 93.57 90.00°
Last column: nearest neighbours and their distance in Å.
Fractional positions:
Er (0.1397, 0.1685, 0.1831)  2 Ni 2.70-2.80
Er (0.1397, 0.3315, 0.6831)  2 Ni 2.70-2.80
Er (0.3123, 0.6424, 0.1111)  1 Ni 2.54
Er (0.3123, 0.8576, 0.6111)  1 Ni 2.54
Er (0.6877, 0.1424, 0.3889)  1 Ni 2.54
Er (0.6877, 0.3576, 0.8889)  1 Ni 2.54
Er (0.8603, 0.6685, 0.3169)  2 Ni 2.70-2.80
Er (0.8603, 0.8315, 0.8169)  2 Ni 2.70-2.80
Ni (0.0000, 0.0000, 0.5000)  6 Er 2.54-2.80
Ni (0.0000, 0.5000, 0.0000)  6 Er 2.54-2.80
Sn (0.5000, 0.0000, 0.0000)  6 Er 2.97-3.18
Sn (0.5000, 0.5000, 0.5000)  6 Er 2.97-3.18


no.,total DFT energy (no corrections) (eV per cell)
1,-17.74
2,-85.29
3,-90.40
4,-65.76
5,-125.83
6,-67.30
7,-74.44
8,-59.27